a.
A relaxed structure of NaZrIn, computed with PBE.

Cell and atoms, written as POSCAR:
```
NaZrIn
1.0
-2.438 2.230 0.009
0.291 -2.120 -2.308
-9.911 -10.870 8.738
In Zr Na
2 2 2
Direct
0.612 0.224 0.000
0.283 0.567 0.500
0.628 0.256 0.349
0.628 0.256 0.651
0.257 0.515 0.829
0.257 0.515 0.171
```

Properties
D(E_F)   2.67 states/eV/f.u.
Symmetry   Amm2 (38)
Magnetization   0.000 μB per formula unit

---

b.
A relaxed structure of NaZrIn, computed with PBE.

Cell and atoms, written as POSCAR:
```
NaZrIn
1.0
15.638 0.000 0.008
5.081 2.565 -1.793
-5.081 2.565 1.793
Na Zr In
2 2 2
Direct
0.079 0.770 0.591
0.921 0.591 0.770
0.447 0.134 0.421
0.553 0.421 0.134
0.500 0.714 0.714
0.000 0.211 0.211
```

Properties
D(E_F)   1.39 states/eV/f.u.
Symmetry   C2 (5)
Magnetization   0.000 μB per formula unit

---

Here are the energies relative to the best structure, in kJ/mol of atoms: a 0.7; b 0.0.

---

a.
A relaxed structure of NaZrIn, computed with PBE.

Cell and atoms, written as POSCAR:
```
NaZrIn
1.0
4.164 -2.404 0.000
0.000 4.808 0.000
0.000 0.000 11.474
Na Zr In
2 2 2
Direct
0.333 0.667 0.250
0.667 0.333 0.750
0.000 0.000 0.000
0.000 0.000 0.500
0.000 0.000 0.250
0.000 0.000 0.750
```

Properties
D(E_F)   4.82 states/eV/f.u.
Symmetry   P6_3/mmc (194)
Magnetization   1.836 μB per formula unit

---

b.
A relaxed structure of NaZrIn, computed with PBE.

Cell and atoms, written as POSCAR:
```
NaZrIn
1.0
-0.191 -5.213 1.510
5.092 -1.994 -6.245
-2.188 2.301 7.670
Na Zr In
2 2 2
Direct
0.500 0.312 0.688
0.500 0.647 0.353
0.000 0.434 0.566
0.000 0.089 0.911
0.500 0.983 0.017
0.000 0.760 0.240
```

Properties
D(E_F)   2.09 states/eV/f.u.
Symmetry   Amm2 (38)
Magnetization   0.000 μB per formula unit

---

Here are the energies relative to the best structure, in kJ/mol of atoms: a 120.8; b 0.0.

---

a.
A relaxed structure of NaZrIn, computed with PBE.

Cell and atoms, written as POSCAR:
```
NaZrIn
1.0
3.174 -0.012 0.007
-1.535 5.232 0.000
1.525 -1.273 8.918
Na Zr In
2 2 2
Direct
0.341 0.264 0.578
0.659 0.736 0.422
0.330 0.735 0.073
0.670 0.265 0.927
0.001 0.231 0.228
0.999 0.769 0.772
```

Properties
D(E_F)   2.03 states/eV/f.u.
Symmetry   P-1 (2)
Magnetization   0.000 μB per formula unit

---

b.
A relaxed structure of NaZrIn, computed with PBE.

Cell and atoms, written as POSCAR:
```
NaZrIn
1.0
-0.683 4.955 -0.609
-3.303 -3.259 -1.964
-3.484 0.200 5.530
Na Zr In
2 2 2
Direct
0.667 0.333 0.299
0.000 0.000 0.458
0.000 0.000 0.955
0.333 0.667 0.690
0.333 0.667 0.164
0.667 0.333 0.785
```

Properties
D(E_F)   3.04 states/eV/f.u.
Symmetry   P3m1 (156)
Magnetization   0.000 μB per formula unit

---

Here are the energies relative to the best structure, in kJ/mol of atoms: a 0.0; b 11.1.

---

a.
A relaxed structure of NaZrIn, computed with PBE.

Cell and atoms, written as POSCAR:
```
NaZrIn
1.0
-4.468 15.862 -4.829
-3.394 4.301 -3.885
0.302 -4.988 4.487
Na Zr In
2 2 2
Direct
0.333 0.502 0.498
0.667 0.498 0.502
0.855 0.987 0.013
0.145 0.013 0.987
0.500 0.000 0.000
0.000 0.500 0.500
```

Properties
D(E_F)   1.16 states/eV/f.u.
Symmetry   C2/m (12)
Magnetization   0.000 μB per formula unit

---

b.
A relaxed structure of NaZrIn, computed with PBE.

Cell and atoms, written as POSCAR:
```
NaZrIn
1.0
8.856 0.000 0.000
0.000 3.050 0.000
0.000 0.000 11.147
Na Zr In
4 4 4
Direct
0.836 0.250 0.417
0.664 0.750 0.917
0.164 0.750 0.583
0.336 0.250 0.083
0.440 0.250 0.390
0.060 0.750 0.890
0.560 0.750 0.610
0.940 0.250 0.110
0.851 0.250 0.705
0.649 0.750 0.205
0.149 0.750 0.295
0.351 0.250 0.795
```

Properties
D(E_F)   2.76 states/eV/f.u.
Symmetry   Pnma (62)
Magnetization   0.000 μB per formula unit

---

c.
A relaxed structure of NaZrIn, computed with PBE.

Cell and atoms, written as POSCAR:
```
NaZrIn
1.0
-0.676 1.705 4.559
0.092 4.839 0.852
-4.148 2.372 1.146
Na Zr In
1 1 1
Direct
0.250 0.250 0.250
0.750 0.750 0.750
0.000 0.000 0.000
```

Properties
D(E_F)   0.57 states/eV/f.u.
Symmetry   F-43m (216)
Magnetization   0.000 μB per formula unit

---

d.
A relaxed structure of NaZrIn, computed with PBE.

Cell and atoms, written as POSCAR:
```
NaZrIn
1.0
15.123 0.000 -0.026
0.000 3.174 0.000
0.007 0.000 3.175
Na Zr In
2 2 2
Direct
0.606 0.250 0.751
0.394 0.750 0.249
0.926 0.250 0.750
0.074 0.750 0.250
0.231 0.250 0.749
0.769 0.750 0.251
```

Properties
D(E_F)   1.88 states/eV/f.u.
Symmetry   P4/nmm (129)
Magnetization   0.000 μB per formula unit

---

Here are the energies relative to the best structure, in kJ/mol of atoms: a 14.1; b 10.9; c 56.1; d 0.0.

---

a.
A relaxed structure of NaZrIn, computed with PBE.

Cell and atoms, written as POSCAR:
```
NaZrIn
1.0
4.327 0.000 0.000
0.000 4.327 0.000
0.000 0.000 7.651
Na Zr In
2 2 2
Direct
0.000 0.500 0.769
0.500 0.000 0.231
0.000 0.500 0.158
0.500 0.000 0.842
0.000 0.000 0.500
0.500 0.500 0.500
```

Properties
D(E_F)   4.97 states/eV/f.u.
Symmetry   P4/nmm (129)
Magnetization   0.001 μB per formula unit

---

b.
A relaxed structure of NaZrIn, computed with PBE.

Cell and atoms, written as POSCAR:
```
NaZrIn
1.0
-1.091 2.364 -2.131
-0.693 -3.654 -3.699
-7.582 0.595 4.539
Na Zr In
2 2 2
Direct
0.953 0.908 0.598
0.453 0.385 0.552
0.453 0.740 0.220
0.953 0.597 0.930
0.953 0.245 0.229
0.453 0.093 0.921
```

Properties
D(E_F)   2.21 states/eV/f.u.
Symmetry   Pm (6)
Magnetization   0.000 μB per formula unit

---

c.
A relaxed structure of NaZrIn, computed with PBE.

Cell and atoms, written as POSCAR:
```
NaZrIn
1.0
17.158 0.000 -0.005
0.962 1.661 -2.713
-0.962 1.661 2.713
Na Zr In
2 2 2
Direct
0.671 0.419 0.581
0.479 0.947 0.053
0.150 0.943 0.057
0.999 0.760 0.240
0.309 0.451 0.549
0.841 0.584 0.416
```

Properties
D(E_F)   1.13 states/eV/f.u.
Symmetry   Cm (8)
Magnetization   0.000 μB per formula unit

---

d.
A relaxed structure of NaZrIn, computed with PBE.

Cell and atoms, written as POSCAR:
```
NaZrIn
1.0
3.278 0.000 0.000
0.000 11.315 0.000
0.000 0.000 4.239
Na Zr In
2 2 2
Direct
0.000 0.387 0.000
0.500 0.613 0.500
0.000 0.075 0.000
0.500 0.925 0.500
0.000 0.788 0.000
0.500 0.212 0.500
```

Properties
D(E_F)   1.90 states/eV/f.u.
Symmetry   Pmmn (59)
Magnetization   0.000 μB per formula unit

---

Here are the energies relative to the best structure, in kJ/mol of atoms: a 61.9; b 7.8; c 4.5; d 0.0.

---

a.
A relaxed structure of NaZrIn, computed with PBE.

Cell and atoms, written as POSCAR:
```
NaZrIn
1.0
5.659 -0.017 0.013
1.213 5.471 -0.098
-0.643 -2.522 4.722
Na Zr In
2 2 2
Direct
0.994 0.342 0.174
0.006 0.658 0.826
0.500 0.129 0.796
0.500 0.871 0.204
0.500 0.500 0.500
0.000 0.000 0.500
```

Properties
D(E_F)   2.38 states/eV/f.u.
Symmetry   P-1 (2)
Magnetization   0.379 μB per formula unit

---

b.
A relaxed structure of NaZrIn, computed with PBE.

Cell and atoms, written as POSCAR:
```
NaZrIn
1.0
-3.542 3.218 1.541
-5.764 -4.282 -4.306
4.635 1.887 6.713
Na Zr In
2 2 2
Direct
0.500 0.330 0.670
0.000 0.830 0.170
0.000 0.152 0.848
0.000 0.507 0.493
0.500 0.658 0.342
0.500 0.001 0.999
```

Properties
D(E_F)   1.76 states/eV/f.u.
Symmetry   Cmmm (65)
Magnetization   0.000 μB per formula unit

---

Here are the energies relative to the best structure, in kJ/mol of atoms: a 9.3; b 0.0.